GGA+U FeCuPdO4, optimized geometry; uncorrected energy = -5.58 eV/atom
1.0
-2.928 3.049 4.252
2.928 -3.049 4.252
2.928 3.049 -4.252
Fe Cu Pd O
2 2 2 8
direct
0.500 0.000 0.000
0.500 0.500 0.500
0.118 0.368 0.750
0.882 0.632 0.250
0.000 0.000 0.000
0.500 0.000 0.500
0.266 0.252 0.486
0.266 0.780 0.014
0.274 0.242 0.032
0.290 0.758 0.532
0.710 0.242 0.468
0.726 0.758 0.968
0.734 0.220 0.986
0.734 0.748 0.514